CuTe2Pb meta-GGA SCAN single point on PBEsol structure; ρ = 7.7 Mg/m³; E_form (uncorrected) = 0.020 eV per atom; total energy = -3.039 Ry per atom; SG = P4mm
1.0
3.864 0.000 0.000
0.000 3.864 0.000
0.000 0.000 7.557
Te Pb Cu
2 1 1
Cartesian
1.932 1.932 2.888
0.000 0.000 7.473
1.932 1.932 6.036
0.000 0.000 2.496